A plane-wave DFT calculation with PBEsol was carried out for a geometry-optimized ReNiSb structure.

a b c (Å): 4.118 4.118 4.118
angles (deg): 60.00 60.00 60.00
Fractional positions:
Re 0.000 0.000 0.000
Ni 0.750 0.750 0.750
Sb 0.500 0.500 0.500

Properties
M_tot	0.002	μB/f.u.
uncorrected formation energy	0.621	eV/atom
SG	No. 216

=====

A plane-wave DFT calculation with PBEsol was carried out for a geometry-optimized CaZrCd2 structure.

a b c (Å): 5.173 5.173 3.433
angles (deg): 90.00 90.00 90.00
Fractional positions:
Ca 0.000 0.000 0.000
Zr 0.500 0.500 0.000
Cd 0.000 0.500 0.500
Cd 0.500 0.000 0.500

Properties
M_tot	0.710	μB/f.u.
calculated formation energy	-0.144	eV/atom
SG	No. 123

=====

A plane-wave DFT calculation with PBEsol was carried out for a geometry-optimized ZrNiCl2 structure.

a b c (Å): 4.543 4.543 4.543
angles (deg): 60.00 60.00 60.00
Fractional positions:
Zr 0.000 0.000 0.000
Ni 0.750 0.750 0.750
Cl 0.250 0.250 0.250
Cl 0.500 0.500 0.500

Properties
M_tot	0.000	μB/f.u.
uncorrected formation energy	-0.234	eV/atom
SG	No. 216

=====

A plane-wave DFT calculation with PBEsol was carried out for a geometry-optimized DyMn2O4 structure.

a b c (Å): 8.309 8.309 8.309
angles (deg): 24.67 24.67 24.67
Fractional positions:
Dy 0.000 0.000 0.000
Mn 0.213 0.213 0.213
Mn 0.787 0.787 0.787
O 0.129 0.129 0.129
O 0.292 0.292 0.292
O 0.708 0.708 0.708
O 0.871 0.871 0.871

Properties
M_tot	8.980	μB/f.u.
uncorrected formation energy	-2.207	eV/atom
SG	No. 166

=====

A plane-wave DFT calculation with PBEsol was carried out for a geometry-optimized K2YAgI6 structure.

a b c (Å): 8.341 8.341 8.341
angles (deg): 60.00 60.00 60.00
Fractional positions:
K 0.250 0.250 0.250
K 0.750 0.750 0.750
Y 0.000 0.000 0.000
Ag 0.500 0.500 0.500
I 0.252 0.252 0.748
I 0.252 0.748 0.252
I 0.252 0.748 0.748
I 0.748 0.252 0.252
I 0.748 0.252 0.748
I 0.748 0.748 0.252

Properties
M_tot	0.000	μB/f.u.
uncorrected formation energy	-1.109	eV/atom
SG	No. 225

=====

A plane-wave DFT calculation with PBEsol was carried out for a geometry-optimized TlIn3 structure.

a b c (Å): 3.261 3.261 9.806
angles (deg): 90.00 90.00 90.00
Fractional positions:
Tl 0.000 0.000 0.000
In 0.000 0.000 0.500
In 0.500 0.500 0.257
In 0.500 0.500 0.743

Properties
M_tot	0.000	μB/f.u.
calculated formation energy	0.008	eV/atom
SG	No. 123

=====

A plane-wave DFT calculation with PBEsol was carried out for a geometry-optimized Nd2Mg structure.

a b c (Å): 8.831 8.831 5.568
angles (deg): 90.00 90.00 155.40
Fractional positions:
Nd 0.088 0.912 0.750
Nd 0.229 0.771 0.250
Nd 0.771 0.229 0.750
Nd 0.912 0.088 0.250
Mg 0.431 0.569 0.750
Mg 0.569 0.431 0.250

Properties
M_tot	0.000	μB/f.u.
calculated formation energy	-0.056	eV/atom
SG	No. 63

=====

A plane-wave DFT calculation with PBEsol was carried out for a geometry-optimized Fe2O3 structure.

a b c (Å): 7.974 7.974 7.974
angles (deg): 109.47 109.47 109.47
Fractional positions:
Fe 0.000 0.000 0.000
Fe 0.000 0.500 0.500
Fe 0.029 0.779 0.250
Fe 0.221 0.750 0.971
Fe 0.250 0.029 0.779
Fe 0.250 0.529 0.279
Fe 0.279 0.250 0.529
Fe 0.471 0.721 0.750
Fe 0.500 0.000 0.500
Fe 0.500 0.500 0.000
Fe 0.529 0.279 0.250
Fe 0.721 0.750 0.471
Fe 0.750 0.471 0.721
Fe 0.750 0.971 0.221
Fe 0.779 0.250 0.029
Fe 0.971 0.221 0.750
O 0.005 0.551 0.280
O 0.045 0.271 0.051
O 0.051 0.045 0.271
O 0.220 0.771 0.725
O 0.225 0.455 0.505
O 0.229 0.275 0.780
O 0.271 0.051 0.045
O 0.275 0.780 0.229
O 0.280 0.005 0.551
O 0.449 0.720 0.995
O 0.455 0.505 0.225
O 0.495 0.775 0.545
O 0.505 0.225 0.455
O 0.545 0.495 0.775
O 0.551 0.280 0.005
O 0.720 0.995 0.449
O 0.725 0.220 0.771
O 0.729 0.949 0.955
O 0.771 0.725 0.220
O 0.775 0.545 0.495
O 0.780 0.229 0.275
O 0.949 0.955 0.729
O 0.955 0.729 0.949
O 0.995 0.449 0.720

Properties
M_tot	4.070	μB/f.u.
uncorrected formation energy	-1.153	eV/atom
SG	No. 206

=====

A plane-wave DFT calculation with PBEsol was carried out for a geometry-optimized Y3Rh structure.

a b c (Å): 7.081 9.356 6.228
angles (deg): 90.00 90.00 90.00
Fractional positions:
Y 0.035 0.250 0.136
Y 0.177 0.063 0.671
Y 0.177 0.437 0.671
Y 0.323 0.563 0.171
Y 0.323 0.937 0.171
Y 0.465 0.750 0.636
Y 0.535 0.250 0.364
Y 0.677 0.063 0.829
Y 0.677 0.437 0.829
Y 0.823 0.563 0.329
Y 0.823 0.937 0.329
Y 0.965 0.750 0.864
Rh 0.117 0.750 0.445
Rh 0.383 0.250 0.945
Rh 0.617 0.750 0.055
Rh 0.883 0.250 0.555

Properties
M_tot	0.000	μB/f.u.
calculated formation energy	-0.491	eV/atom
SG	No. 62

=====

A plane-wave DFT calculation with PBEsol was carried out for a geometry-optimized TaSbP2 structure.

a b c (Å): 3.528 4.629 4.789
angles (deg): 90.00 99.09 90.00
Fractional positions:
Ta 0.000 0.000 0.000
Sb 0.500 0.000 0.500
P 0.216 0.500 0.851
P 0.784 0.500 0.149

Properties
M_tot	0.000	μB/f.u.
uncorrected formation energy	0.103	eV/atom
SG	No. 10

=====

A plane-wave DFT calculation with PBEsol was carried out for a geometry-optimized Rb2MnTeSe structure.

a b c (Å): 6.399 6.399 4.663
angles (deg): 90.00 90.00 90.00
Fractional positions:
Rb 0.000 0.500 0.000
Rb 0.500 0.000 0.000
Mn 0.000 0.000 0.500
Te 0.500 0.500 0.500
Se 0.000 0.000 0.000

Properties
M_tot	4.927	μB/f.u.
uncorrected formation energy	-0.302	eV/atom
SG	No. 123

=====

A plane-wave DFT calculation with PBEsol was carried out for a geometry-optimized IrRh2Br structure.

a b c (Å): 2.832 2.832 7.548
angles (deg): 90.00 90.00 90.00
Fractional positions:
Ir 0.000 0.000 0.000
Rh 0.000 0.000 0.463
Rh 0.500 0.500 0.228
Br 0.500 0.500 0.719

Properties
M_tot	0.006	μB/f.u.
uncorrected formation energy	0.605	eV/atom
SG	No. 99

=====

Which value of M_tot does entry 4 give?
8.980 μB/f.u.

=====

Please write out number 7 again, unchanged.
A plane-wave DFT calculation with PBEsol was carried out for a geometry-optimized Nd2Mg structure.

a b c (Å): 8.831 8.831 5.568
angles (deg): 90.00 90.00 155.40
Fractional positions:
Nd 0.088 0.912 0.750
Nd 0.229 0.771 0.250
Nd 0.771 0.229 0.750
Nd 0.912 0.088 0.250
Mg 0.431 0.569 0.750
Mg 0.569 0.431 0.250

Properties
M_tot	0.000	μB/f.u.
calculated formation energy	-0.056	eV/atom
SG	No. 63